# KNa2In2

A crystal of KNa2In2 relaxed with PBEsol (meta-GGA SCAN, the Alexandria database).

energy of formation from the pure elements: -0.7 eV per formula unit
calculated volume: 304.52 Å³ per cell
DFT total energy: -16.849 eV per atom
density of states at the Fermi level: 0.42 states/eV per atom
relative energy among the computed polymorphs: 0.000 eV per atom

abc: 9.4325 9.4325 3.4226
angles: 90.00 90.00 90.00
With the nearest neighbours (Å) after each atom.
Space group P4/mbm (No. 127)
Inequivalent atoms, fractional coordinates:
1 K 0.0000 0.0000 0.0000 x2  2 K 3.42, 4 In 3.81
2 Na 0.1806 0.3194 0.5000 x4  6 In 3.26-3.31, 2 Na 3.42
3 In 0.1112 0.6112 0.0000 x4  1 In 2.97, 6 Na 3.26-3.31

---

# MgScIn4

A crystal of MgScIn4 relaxed with PBEsol (meta-GGA SCAN, the Alexandria database).

energy of formation from the pure elements: -0.4 eV per formula unit
calculated volume: 576.83 Å³ per cell
DFT total energy: -25.527 eV per atom
density of states at the Fermi level: 0.58 states/eV per atom

abc: 8.3243 8.3243 8.3243
angles: 90.00 90.00 90.00
With the nearest neighbours (Å) after each atom.
Space group F-43m (No. 216)
Inequivalent atoms, fractional coordinates:
1 Mg 0.0000 0.0000 0.0000 x4  12 In 3.45, 4 Sc 3.60
2 Sc 0.2500 0.2500 0.2500 x4  12 In 3.45, 4 Mg 3.60
3 In 0.1251 0.1251 0.6251 x16  6 In 2.94

---

# Ga3TcH

A crystal of Ga3TcH relaxed with PBEsol (meta-GGA SCAN, the Alexandria database).

calculated volume: 107.80 Å³ per cell
DFT total energy: -16.959 eV per atom
density of states at the Fermi level: 0.42 states/eV per atom

abc: 4.7593 4.7593 4.7593
angles: 90.00 90.00 90.00
With the nearest neighbours (Å) after each atom.
Space group Pm-3m (No. 221)
Inequivalent atoms, fractional coordinates:
1 Ga 0.0000 0.0000 0.5000 x3  2 Tc 2.38
2 Tc 0.0000 0.0000 0.0000 x1  6 Ga 2.38
3 H 0.5000 0.5000 0.5000 x1  12 Ga 3.37

---

# SrCoRe2Pt

A crystal of SrCoRe2Pt relaxed with PBEsol (meta-GGA SCAN, the Alexandria database).

energy of formation from the pure elements: 17.7 eV per formula unit
calculated volume: 94.05 Å³ per cell
DFT total energy: -46.861 eV per atom
density of states at the Fermi level: 0.95 states/eV per atom

abc: 4.6738 4.6738 4.3053
angles: 90.00 90.00 90.00
With the nearest neighbours (Å) after each atom.
Space group P4/mmm (No. 123)
Inequivalent atoms, fractional coordinates:
1 Sr 0.0000 0.0000 0.0000 x1  2 Co 2.15, 4 Re 2.34
2 Co 0.0000 0.0000 0.5000 x1  2 Sr 2.15
3 Re 0.0000 0.5000 0.0000 x2  2 Sr 2.34
4 Pt 0.5000 0.5000 0.5000 x1  8 Re 3.18, 4 Co 3.30

---

# TeIrI2Cl

A crystal of TeIrI2Cl relaxed with PBEsol (meta-GGA SCAN, the Alexandria database).

calculated volume: 147.20 Å³ per cell
DFT total energy: -37.580 eV per atom
energy relative to the elements, uncorrected: 382 meV/atom
density of states at the Fermi level: 1.24 states/eV per atom

abc: 5.4229 5.4229 5.0055
angles: 90.00 90.00 90.00
With the nearest neighbours (Å) after each atom.
Space group P4/mmm (No. 123)
Inequivalent atoms, fractional coordinates:
1 Te 0.0000 0.0000 0.0000 x1  2 Ir 2.50
2 Ir 0.0000 0.0000 0.5000 x1  2 Te 2.50, 4 I 2.71
3 I 0.0000 0.5000 0.5000 x2  2 Ir 2.71
4 Cl 0.5000 0.5000 0.0000 x1  8 I 3.69, 4 Te 3.83

---

# Cd2SbAs

A crystal of Cd2SbAs relaxed with PBEsol (meta-GGA SCAN, the Alexandria database).

calculated volume: 472.35 Å³ per cell
DFT total energy: -29.412 eV per atom
energy relative to the elements, uncorrected: 158 meV/atom
density of states at the Fermi level: 0.72 states/eV per atom
relative energy among the computed polymorphs: 0.038 eV per atom

abc: 6.5037 6.5037 11.1672
angles: 90.00 90.00 90.00
With the nearest neighbours (Å) after each atom.
Space group I-42d (No. 122)
Inequivalent atoms, fractional coordinates:
1 Cd 0.2230 0.2500 0.1250 x8  2 As 2.59, 2 Sb 2.80
2 Sb 0.0000 0.0000 0.5000 x4  4 Cd 2.80
3 As 0.0000 0.0000 0.0000 x4  4 Cd 2.59